Record 1
# Hf2MnAuC | the Alexandria database | PBE | optimized geometry
data_Hf2MnAuC
_space_group_name_H-M_alt 'P 4/m m m'
_space_group_IT_number 123
_space_group_name_Hall '-P 4 2'
_cell_length_a 4.5575
_cell_length_b 4.5575
_cell_length_c 3.7375
_cell_angle_alpha 90.00
_cell_angle_beta 90.00
_cell_angle_gamma 90.00
loop_
_atom_site_label
_atom_site_type_symbol
_atom_site_fract_x
_atom_site_fract_y
_atom_site_fract_z
_atom_site_occupancy
Hf1 Hf 0.0000 0.5000 0.0000 1
Mn1 Mn 0.0000 0.0000 0.5000 1
Au1 Au 0.5000 0.5000 0.5000 1
C1 C 0.0000 0.0000 0.0000 1
# **ΔH_f (0 K)**: -494 meV per atom

=====

Record 2
# Pu2AgI6 | the Alexandria database | PBE | optimized geometry
data_Pu2AgI6
_space_group_name_H-M_alt 'R 3'
_space_group_IT_number 146
_space_group_name_Hall 'R 3'
_cell_length_a 7.9850
_cell_length_b 7.9850
_cell_length_c 22.8028
_cell_angle_alpha 90.00
_cell_angle_beta 90.00
_cell_angle_gamma 120.00
loop_
_atom_site_label
_atom_site_type_symbol
_atom_site_fract_x
_atom_site_fract_y
_atom_site_fract_z
_atom_site_occupancy
Pu1 Pu 0.0000 0.0000 0.0000 1
Pu2 Pu 0.0000 0.0000 0.1671 1
Ag1 Ag 0.0000 0.0000 0.5833 1
I1 I 0.0001 0.6921 0.0835 1
I2 I 0.0009 0.3482 0.5832 1
# **Energy relative to the elements, uncorrected**: -869 meV per atom

=====

Record 3
# Be3GaB | the Alexandria database | PBE | optimized geometry
data_Be3GaB
_space_group_name_H-M_alt 'P m -3 m'
_space_group_IT_number 221
_space_group_name_Hall '-P 4 2 3'
_cell_length_a 4.1621
_cell_length_b 4.1621
_cell_length_c 4.1621
_cell_angle_alpha 90.00
_cell_angle_beta 90.00
_cell_angle_gamma 90.00
loop_
_atom_site_label
_atom_site_type_symbol
_atom_site_fract_x
_atom_site_fract_y
_atom_site_fract_z
_atom_site_occupancy
Be1 Be 0.0000 0.0000 0.5000 1
Ga1 Ga 0.0000 0.0000 0.0000 1
B1 B 0.5000 0.5000 0.5000 1
# **ΔE to the lowest computed polymorph**: 1.217 eV per atom
# **ΔH_f (0 K)**: 1564 meV per atom

=====

Record 4
# LaCd3Hg | the Alexandria database | PBE | optimized geometry
data_LaCd3Hg
_space_group_name_H-M_alt 'P m -3 m'
_space_group_IT_number 221
_space_group_name_Hall '-P 4 2 3'
_cell_length_a 5.3325
_cell_length_b 5.3325
_cell_length_c 5.3325
_cell_angle_alpha 90.00
_cell_angle_beta 90.00
_cell_angle_gamma 90.00
loop_
_atom_site_label
_atom_site_type_symbol
_atom_site_fract_x
_atom_site_fract_y
_atom_site_fract_z
_atom_site_occupancy
La1 La 0.0000 0.0000 0.0000 1
Cd1 Cd 0.0000 0.5000 0.5000 1
Hg1 Hg 0.5000 0.5000 0.5000 1
# **ΔE to the lowest computed polymorph**: 0.397 eV per atom
# **ΔH_f (0 K)**: 140 meV per atom